First-principles (PBE) data for a relaxed ZrSc2Fe crystal, as listed in Alexandria.

Cell and atoms, written as POSCAR:
```
ZrSc2Fe
1.0
-3.772 -1.329 -0.852
1.554 -3.518 -1.389
-0.326 -1.854 4.332
Sc Fe Zr
2 1 1
Direct
0.000 0.000 0.000
0.500 0.500 0.000
0.000 0.500 0.500
0.500 0.000 0.500
```

Calculated formation energy, eV/atom: 0.1598

***

First-principles (PBE) data for a relaxed Er2NiTe crystal, as listed in Alexandria.

Cell and atoms, written as POSCAR:
```
Er2NiTe
1.0
4.011 0.000 0.000
2.005 3.473 0.000
2.005 1.158 7.191
Er Te Ni
2 1 1
Direct
0.735 0.735 0.794
0.265 0.265 0.206
0.500 0.500 0.500
0.000 0.000 0.000
```

Energy relative to the elements, uncorrected, eV per atom: -0.788

***

| no. | raw total energy (eV per formula unit) | DOS at the Fermi energy (states/eV per cell) |
| --- | --- | --- |
| 1 | -29.03 | 5.62 |
| 2 | -21.20 | 2.14 |